Entry 1:
# Lu2CdB (PBE-GGA, relaxed)
# Spin magnetization ... 0.03 μB per formula unit
# Electronic total energy ... -4.221 eV per atom
data_Lu2CdB
_chemical_formula_sum 'Lu4 Cd2 B2'
_cell_length_a 3.5171
_cell_length_b 3.5171
_cell_length_c 16.5929
_cell_angle_alpha 90.00
_cell_angle_beta 90.00
_cell_angle_gamma 120.00
_symmetry_space_group_name_H-M 'P 63/m m c'
_symmetry_Int_Tables_number 194
_symmetry_space_group_name_Hall '-P 6c 2c'
loop_
_atom_site_label
_atom_site_type_symbol
_atom_site_fract_x
_atom_site_fract_y
_atom_site_fract_z
Lu1 Lu 0.3333 0.6667 0.0910
Cd1 Cd 0.3333 0.6667 0.7500
B1 B 0.0000 0.0000 0.0000



Entry 2:
# LuCd2B (PBE-GGA, relaxed)
# Spin magnetization ... 0.01 μB per formula unit
# Electronic total energy ... -2.813 eV per atom
data_LuCd2B
_chemical_formula_sum 'Lu4 Cd8 B4'
_cell_length_a 6.723
_cell_length_b 6.723
_cell_length_c 6.723
_cell_angle_alpha 90.00
_cell_angle_beta 90.00
_cell_angle_gamma 90.00
_symmetry_space_group_name_H-M 'F -4 3 m'
_symmetry_Int_Tables_number 216
_symmetry_space_group_name_Hall 'F -4 2 3'
loop_
_atom_site_label
_atom_site_type_symbol
_atom_site_fract_x
_atom_site_fract_y
_atom_site_fract_z
Lu1 Lu 0.000 0.000 0.000
Cd1 Cd 0.000 0.000 0.500
Cd2 Cd 0.250 0.250 0.250
B1 B 0.250 0.250 0.750



Entry 3:
# LuCdNiB (PBE-GGA, relaxed)
# Spin magnetization ... 0.00 μB per formula unit
# Electronic total energy ... -4.090 eV per atom
data_LuCdNiB
_chemical_formula_sum 'Lu4 Cd4 Ni4 B4'
_cell_length_a 6.279
_cell_length_b 6.279
_cell_length_c 6.279
_cell_angle_alpha 90.00
_cell_angle_beta 90.00
_cell_angle_gamma 90.00
_symmetry_space_group_name_H-M 'F -4 3 m'
_symmetry_Int_Tables_number 216
_symmetry_space_group_name_Hall 'F -4 2 3'
loop_
_atom_site_label
_atom_site_type_symbol
_atom_site_fract_x
_atom_site_fract_y
_atom_site_fract_z
Lu1 Lu 0.000 0.000 0.000
Cd1 Cd 0.250 0.250 0.750
Ni1 Ni 0.000 0.000 0.500
B1 B 0.250 0.250 0.250



Entry 4:
# LuCdNiB (PBE-GGA, relaxed)
# Spin magnetization ... 0.01 μB per formula unit
# Electronic total energy ... -4.225 eV per atom
data_LuCdNiB
_chemical_formula_sum 'Lu4 Cd4 Ni4 B4'
_cell_length_a 6.277
_cell_length_b 6.277
_cell_length_c 6.277
_cell_angle_alpha 90.00
_cell_angle_beta 90.00
_cell_angle_gamma 90.00
_symmetry_space_group_name_H-M 'F -4 3 m'
_symmetry_Int_Tables_number 216
_symmetry_space_group_name_Hall 'F -4 2 3'
loop_
_atom_site_label
_atom_site_type_symbol
_atom_site_fract_x
_atom_site_fract_y
_atom_site_fract_z
Lu1 Lu 0.000 0.000 0.000
Cd1 Cd 0.000 0.000 0.500
Ni1 Ni 0.250 0.250 0.750
B1 B 0.250 0.250 0.250



Entry 5:
# MgCdB (PBE-GGA, relaxed)
# Electronic total energy ... -2.611 eV per atom
data_MgCdB
_chemical_formula_sum 'Mg4 Cd4 B4'
_cell_length_a 5.801
_cell_length_b 5.801
_cell_length_c 5.801
_cell_angle_alpha 90.00
_cell_angle_beta 90.00
_cell_angle_gamma 90.00
_symmetry_space_group_name_H-M 'F -4 3 m'
_symmetry_Int_Tables_number 216
_symmetry_space_group_name_Hall 'F -4 2 3'
loop_
_atom_site_label
_atom_site_type_symbol
_atom_site_fract_x
_atom_site_fract_y
_atom_site_fract_z
Mg1 Mg 0.000 0.000 0.000
Cd1 Cd 0.000 0.000 0.500
B1 B 0.250 0.250 0.750



Entry 6:
# MgCdNiB (PBE-GGA, relaxed)
# Spin magnetization ... 0.01 μB per formula unit
# Electronic total energy ... -3.120 eV per atom
data_MgCdNiB
_chemical_formula_sum 'Mg4 Cd4 Ni4 B4'
_cell_length_a 6.042
_cell_length_b 6.042
_cell_length_c 6.042
_cell_angle_alpha 90.00
_cell_angle_beta 90.00
_cell_angle_gamma 90.00
_symmetry_space_group_name_H-M 'F -4 3 m'
_symmetry_Int_Tables_number 216
_symmetry_space_group_name_Hall 'F -4 2 3'
loop_
_atom_site_label
_atom_site_type_symbol
_atom_site_fract_x
_atom_site_fract_y
_atom_site_fract_z
Mg1 Mg 0.000 0.000 0.000
Cd1 Cd 0.250 0.250 0.750
Ni1 Ni 0.000 0.000 0.500
B1 B 0.250 0.250 0.250



Entry 7:
# MgCdNiB (PBE-GGA, relaxed)
# Spin magnetization ... 0.02 μB per formula unit
# Electronic total energy ... -3.110 eV per atom
data_MgCdNiB
_chemical_formula_sum 'Mg4 Cd4 Ni4 B4'
_cell_length_a 6.066
_cell_length_b 6.066
_cell_length_c 6.066
_cell_angle_alpha 90.00
_cell_angle_beta 90.00
_cell_angle_gamma 90.00
_symmetry_space_group_name_H-M 'F -4 3 m'
_symmetry_Int_Tables_number 216
_symmetry_space_group_name_Hall 'F -4 2 3'
loop_
_atom_site_label
_atom_site_type_symbol
_atom_site_fract_x
_atom_site_fract_y
_atom_site_fract_z
Mg1 Mg 0.000 0.000 0.000
Cd1 Cd 0.000 0.000 0.500
Ni1 Ni 0.250 0.250 0.750
B1 B 0.250 0.250 0.250



Entry 8:
# CdB2Mo2 (PBE-GGA, relaxed)
# Spin magnetization ... 0.01 μB per formula unit
# Electronic total energy ... -7.357 eV per atom
data_CdB2Mo2
_chemical_formula_sum 'Cd2 B4 Mo4'
_cell_length_a 3.054
_cell_length_b 13.310
_cell_length_c 3.110
_cell_angle_alpha 90.00
_cell_angle_beta 90.00
_cell_angle_gamma 90.00
_symmetry_space_group_name_H-M 'C m m m'
_symmetry_Int_Tables_number 65
_symmetry_space_group_name_Hall '-C 2 2'
loop_
_atom_site_label
_atom_site_type_symbol
_atom_site_fract_x
_atom_site_fract_y
_atom_site_fract_z
Cd1 Cd 0.000 0.000 0.000
B1 B 0.000 0.213 0.000
Mo1 Mo 0.000 0.341 0.500